Entry 1:
A plane-wave DFT calculation with PBE-GGA was carried out for a relaxed structure of PRuAuCl2.

Output
The excess energy over the best structure of this formula in the dataset comes out at 0.0000 eV/atom. Its energy relative to the elements, uncorrected is 0.44 eV per atom.

```
PRuAuCl2
1.0
4.898 0.000 0.000
0.000 4.898 0.000
0.000 0.000 4.471
Cl Au Ru P
2 1 1 1
Direct
0.000 0.500 0.000
0.500 0.000 0.000
0.500 0.500 0.500
0.000 0.000 0.000
0.000 0.000 0.500
```

---

Entry 2:
A plane-wave DFT calculation with PBE-GGA was carried out for a relaxed structure of Rb2LaMnI6.

Output
Its energy relative to the elements, uncorrected is -0.90 eV per atom.

```
Rb2LaMnI6
1.0
8.291 0.000 0.000
0.000 8.291 0.000
4.145 4.145 5.862
Rb I Mn La
2 6 1 1
Direct
0.750 0.250 0.500
0.250 0.750 0.500
0.268 0.268 0.000
0.268 0.268 0.463
0.732 0.732 0.000
0.268 0.732 0.000
0.732 0.732 0.537
0.732 0.268 0.000
0.500 0.500 0.000
0.000 0.000 0.000
```